Record 1
DFT (GGA-PBE) results for a relaxed TbGa4Cu2 crystal.

## Properties
ΔE_f = -1.9 eV per formula unit
DOS(E_F) = 2.27 states/eV/cell

a = 7.1840 Å, b = 7.1840 Å, c = 4.2223 Å
α = 90.00°, β = 90.00°, γ = 145.75°
Fractional positions:
Tb 0.0000 0.0000 0.0000
Ga 0.1795 0.8205 0.5000
Ga 0.3186 0.6814 0.0000
Ga 0.6814 0.3186 0.0000
Ga 0.8205 0.1795 0.5000
Cu 0.4134 0.5866 0.5000
Cu 0.5866 0.4134 0.5000

Record 2
DFT (GGA-PBE) results for a relaxed Tb5Ga2Cu2 crystal.

## Properties
ΔE_f = -2.7 eV per formula unit
DOS(E_F) = 17.21 states/eV/cell

a = 8.6742 Å, b = 8.6742 Å, c = 7.0258 Å
α = 90.00°, β = 90.00°, γ = 56.37°
Fractional positions:
Tb 0.0000 0.0000 0.0000
Tb 0.0462 0.6810 0.6552
Tb 0.1810 0.5462 0.1552
Tb 0.3190 0.9538 0.6552
Tb 0.4538 0.8190 0.1552
Tb 0.5000 0.5000 0.5000
Tb 0.5462 0.1810 0.8448
Tb 0.6810 0.0462 0.3448
Tb 0.8190 0.4538 0.8448
Tb 0.9538 0.3190 0.3448
Ga 0.2070 0.2070 0.0000
Ga 0.2930 0.2930 0.5000
Ga 0.7070 0.7070 0.5000
Ga 0.7930 0.7930 0.0000
Cu 0.1186 0.8814 0.3793
Cu 0.3814 0.6186 0.8793
Cu 0.6186 0.3814 0.1207
Cu 0.8814 0.1186 0.6207